No. 1
Entry from Alexandria via LeMat-Bulk: NiC2 after structural relaxation (PBE).

Properties
DFT formation energy: 1076 meV/atom
energy relative to the lowest polymorph listed for this composition: 658 meV/atom
density: 6007 kg/m3
Fermi-level density of states: 0.168 states/eV/atom
total magnetization: 0.00 μB/f.u.

Structure (extended XYZ):
```
12
Lattice="-1.2490 1.2490 14.6572 1.2490 -1.2490 14.6572 1.2490 1.2490 -14.6572" Properties=species:S:1:pos:R:3 pbc="T T T"
Ni 1.2490 0.6245 1.8769
Ni 1.2490 0.6245 5.4517
Ni 0.0000 0.6245 9.2055
Ni 0.0000 0.6245 12.7803
C 1.2490 0.6245 -6.9544
C 1.2490 0.6245 -3.6832
C 0.0000 0.6245 0.3742
C 0.0000 0.6245 3.6455
C 1.2490 0.6245 11.0118
C 1.2490 0.6245 14.2830
C 0.0000 0.6245 18.3404
C 0.0000 0.6245 21.6116
```

No. 2
Entry from Alexandria via LeMat-Bulk: Tb3HoAl4 after structural relaxation (PBE).

Properties
DFT formation energy: -397 meV/atom
density: 6640 kg/m3
Fermi-level density of states: 0.353 states/eV/atom
total magnetization: 0.00 μB/f.u.

Structure (extended XYZ):
```
8
Lattice="3.6056 0.0000 0.0000 0.0000 3.6056 0.0000 0.0000 0.0000 14.4199" Properties=species:S:1:pos:R:3 pbc="T T T"
Tb 0.0000 0.0000 0.0000
Tb 0.0000 0.0000 3.6252
Tb 0.0000 0.0000 10.7947
Ho 0.0000 0.0000 7.2100
Al 1.8028 1.8028 1.8125
Al 1.8028 1.8028 5.4447
Al 1.8028 1.8028 8.9752
Al 1.8028 1.8028 12.6074
```

No. 3
Entry from Alexandria via LeMat-Bulk: Ce2Sm3Tl7 after structural relaxation (PBE).

Properties
DFT formation energy: -84 meV/atom
density: 9456 kg/m3
Fermi-level density of states: 1.778 states/eV/atom
total magnetization: 3.18 μB/f.u.

Structure (extended XYZ):
```
12
Lattice="2.6864 -12.5960 0.0000 2.6864 12.5960 0.0000 0.0000 0.0000 5.6099" Properties=species:S:1:pos:R:3 pbc="T T T"
Ce 2.6864 8.8928 0.0000
Ce 2.6864 -8.8928 0.0000
Sm 2.6864 3.9212 2.8049
Sm 2.6864 0.0000 2.8049
Sm 2.6864 -3.9212 2.8049
Tl 0.0000 0.0000 0.0000
Tl 2.6864 10.6137 2.8049
Tl 2.6864 5.5646 0.0000
Tl 2.6864 1.8358 0.0000
Tl 2.6864 -1.8358 0.0000
Tl 2.6864 -5.5646 0.0000
Tl 2.6864 -10.6137 2.8049
```

No. 4
Entry from Alexandria via LeMat-Bulk: Tb3ZnS6 after structural relaxation (PBE).

Properties
density: 5264 kg/m3
ΔE_f (raw): -156.1 kJ per mole of atoms
Fermi-level density of states: 0.643 states/eV/atom
total magnetization: 0.00 μB/f.u.

Structure (extended XYZ):
```
20
Lattice="5.4237 -6.7555 0.0000 5.4237 6.7555 0.0000 0.0000 0.0000 6.3247" Properties=species:S:1:pos:R:3 pbc="T T T"
Tb 5.4237 5.2572 3.1623
Tb 3.4820 1.4145 3.6500
Tb 3.4820 -1.4145 0.4877
Tb 7.3654 1.4145 3.6500
Tb 7.3654 -1.4145 0.4877
Tb 5.4237 -5.2572 0.0000
Zn 5.4237 2.6706 0.7822
Zn 5.4237 -2.6706 3.9445
S 3.5762 3.5849 1.9021
S 1.7473 0.2736 1.8282
S 1.7473 -0.2736 4.9905
S 5.4237 2.9884 4.8265
S 7.2712 3.5849 1.9021
S 5.4237 0.4787 1.7145
S 5.4237 -0.4787 4.8768
S 3.5762 -3.5849 5.0645
S 5.4237 -2.9884 1.6642
S 9.1001 0.2736 1.8282
S 9.1001 -0.2736 4.9905
S 7.2712 -3.5849 5.0645
```

No. 5
Entry from Alexandria via LeMat-Bulk: Ta2HgN after structural relaxation (PBE).

Properties
energy relative to the lowest polymorph listed for this composition: 0 meV/atom
density: 12223 kg/m3
ΔE_f (raw): 21.7 kJ per mole of atoms
Fermi-level density of states: 0.834 states/eV/atom
total magnetization: 0.00 μB/f.u.

Structure (extended XYZ):
```
16
Lattice="5.2748 0.0000 0.0000 0.0000 5.2748 0.0000 0.0000 0.0000 11.2589" Properties=species:S:1:pos:R:3 pbc="T T T"
Ta 0.6297 1.3187 1.4074
Ta 1.3187 3.2671 4.2221
Ta 1.3187 4.6451 9.8516
Ta 2.0077 1.3187 7.0368
Ta 3.2671 3.9561 7.0368
Ta 3.9561 0.6297 9.8516
Ta 3.9561 2.0077 4.2221
Ta 4.6451 3.9561 1.4074
Hg 0.0000 0.0000 5.6295
Hg 0.0000 2.6374 8.4442
Hg 2.6374 0.0000 2.8147
Hg 2.6374 2.6374 0.0000
N 0.0000 0.0000 0.0000
N 0.0000 2.6374 2.8147
N 2.6374 0.0000 8.4442
N 2.6374 2.6374 5.6295
```

No. 6
Entry from Alexandria via LeMat-Bulk: CsCaI3 after structural relaxation (PBE).

Properties
density: 3310 kg/m3
ΔE_f (raw): -146.2 kJ per mole of atoms
Fermi-level density of states: 0.000 states/eV/atom
total magnetization: 0.00 μB/f.u.

Structure (extended XYZ):
```
10
Lattice="5.6043 0.0000 0.0000 -2.8021 4.8534 0.0000 0.0000 0.0000 20.4276" Properties=species:S:1:pos:R:3 pbc="T T T"
Cs 0.0000 0.0000 0.0000
Cs 0.0000 0.0000 10.2138
Ca 0.0000 3.2356 5.1069
Ca 2.8021 1.6178 15.3207
I 0.0000 0.0000 5.1069
I 0.0000 0.0000 15.3207
I 0.0000 3.2356 2.0971
I 0.0000 3.2356 8.1168
I 2.8021 1.6178 12.3109
I 2.8021 1.6178 18.3306
```

no.,DFT total energy (eV for the cell shown)
1,-84.0
2,-36.6
3,-43.6
4,-112.2
5,-125.7
6,-30.2